# LaHfTl2C

A relaxed structure of LaHfTl2C (PBE, Alexandria via LeMat-Bulk). Values from VASP.

Geometry as Quantum ESPRESSO input:
```
&SYSTEM
  ibrav = 0, nat = 5, ntyp = 4
/
ATOMIC_SPECIES
La 138.91 La.upf
Hf 178.49 Hf.upf
Tl 204.38 Tl.upf
C 12.01 C.upf
ATOMIC_POSITIONS crystal
La 0.0000 0.0000 0.0000
Hf 0.5000 0.5000 0.0000
Tl 0.0000 0.5000 0.5000
Tl 0.5000 0.0000 0.5000
C 0.5000 0.5000 0.5000
CELL_PARAMETERS angstrom
5.2694 0.0000 0.0000
0.0000 5.2694 0.0000
0.0000 0.0000 4.4170
```

- Total DFT energy (no corrections): -5.281 eV per atom
- Calculated density: 9994 kg/m3
- Fermi-level density of states: 5.09 states/eV/cell